## Ca2SiH (PBE)

Data for a geometry-optimized Ca2SiH structure.

Properties
Final energy (Ry/atom): -0.251
Crystal system: tetragonal
N(E_F) (states/eV/f.u.): 1.90
Space-group type: P4/mmm, No. 123

Cell: 3.2964 5.0725 5.0725 Å, 90.00 90.00 90.00°
Positions (direct):
Ca: 0.0000 0.0000 0.5000
Ca: 0.0000 0.5000 0.0000
H: 0.5000 0.5000 0.5000
Si: 0.5000 0.0000 0.0000

***

## Ca2SiH (PBE)

Data for a geometry-optimized Ca2SiH structure.

Properties
Final energy (Ry/atom): -0.264
Crystal system: monoclinic
N(E_F) (states/eV/f.u.): 0.59
Space-group type: P2/c, No. 13

Cell: 5.6630 6.0039 10.1036 Å, 94.76 90.00 90.00°
Positions (direct):
Ca: 0.7606 0.5959 0.5882
Ca: 0.7606 0.9041 0.9118
Ca: 0.2350 0.9754 0.6431
Ca: 0.2394 0.4041 0.4118
Ca: 0.7650 0.4754 0.1431
Ca: 0.2350 0.5246 0.8569
Ca: 0.2394 0.0959 0.0882
Ca: 0.7650 0.0246 0.3569
Si: 0.7305 0.1288 0.6480
Si: 0.2695 0.6288 0.1479
Si: 0.2695 0.8712 0.3520
Si: 0.7305 0.3712 0.8521
H: 0.1826 0.5844 0.6301
H: 0.8174 0.4156 0.3699
H: 0.8174 0.0844 0.1301
H: 0.1826 0.9156 0.8699

***

## CaSi3H (PBE)

Data for a geometry-optimized CaSi3H structure.

Properties
Final energy (Ry/atom): -0.177
Crystal system: cubic
N(E_F) (states/eV/f.u.): 5.72
Space-group type: Pm-3m, No. 221

Cell: 5.4813 5.4813 5.4813 Å, 90.00 90.00 90.00°
Site moments in Bohr magnetons follow the coordinates.
Positions (direct):
Si: 0.0000 0.0000 0.5000  0.05
Si: 0.5000 0.0000 0.0000  0.05
Si: 0.0000 0.5000 0.0000  0.06
H: 0.5000 0.5000 0.5000  0.35
Ca: 0.0000 0.0000 0.0000  0.10

***

## Ca12Si3H5 (PBE)

Data for a geometry-optimized Ca12Si3H5 structure.

Properties
Final energy (Ry/atom): -0.234
Crystal system: cubic
N(E_F) (states/eV/f.u.): 9.75
Space-group type: Ia-3d, No. 230

Cell: 13.6371 13.6371 13.6371 Å, 109.47 109.47 109.47°
Positions (direct):
Ca: 0.2847 0.8764 0.9738
Ca: 0.5974 0.9738 0.6891
Ca: 0.8764 0.5917 0.9026
Ca: 0.9026 0.8109 0.5262
Ca: 0.3764 0.4026 0.0917
Ca: 0.2847 0.4083 0.8109
Ca: 0.1236 0.7153 0.5262
Ca: 0.5262 0.3109 0.9026
Ca: 0.6236 0.0262 0.2153
Ca: 0.9083 0.8109 0.7847
Ca: 0.7153 0.5917 0.1891
Ca: 0.0262 0.6236 0.7153
Ca: 0.4026 0.0262 0.3109
Ca: 0.3764 0.9738 0.7847
Ca: 0.0974 0.9083 0.1236
Ca: 0.2153 0.5262 0.6236
Ca: 0.3109 0.7847 0.4083
Ca: 0.6891 0.2153 0.5917
Ca: 0.1236 0.4083 0.0974
Ca: 0.4026 0.3764 0.5917
Ca: 0.7847 0.3109 0.9083
Ca: 0.5974 0.6236 0.4083
Ca: 0.8764 0.2847 0.4738
Ca: 0.7153 0.1236 0.0262
Ca: 0.5917 0.8764 0.4026
Ca: 0.4083 0.2847 0.3109
Ca: 0.6236 0.5974 0.9083
Ca: 0.9083 0.0974 0.6236
Ca: 0.1891 0.0974 0.9738
Ca: 0.5262 0.2153 0.1236
Ca: 0.4738 0.7847 0.8764
Ca: 0.2153 0.6891 0.0917
Ca: 0.0917 0.9026 0.3764
Ca: 0.0262 0.4026 0.8109
Ca: 0.4738 0.6891 0.0974
Ca: 0.9738 0.3764 0.2847
Ca: 0.3109 0.5262 0.4026
Ca: 0.7847 0.4738 0.3764
Ca: 0.0974 0.1891 0.4738
Ca: 0.0917 0.1891 0.2153
Ca: 0.8109 0.9026 0.0262
Ca: 0.5917 0.7153 0.6891
Ca: 0.1891 0.0917 0.7153
Ca: 0.4083 0.1236 0.5974
Ca: 0.6891 0.4738 0.5974
Ca: 0.9026 0.0917 0.8764
Ca: 0.9738 0.5974 0.1891
Ca: 0.8109 0.9083 0.2847
H: 0.5000 0.0000 0.0000
H: 0.0000 0.0000 0.0000
H: 0.2500 0.3750 0.6250
H: 0.5000 0.5000 0.0000
H: 0.1250 0.7500 0.3750
H: 0.8750 0.6250 0.7500
H: 0.8750 0.2500 0.6250
H: 0.3750 0.1250 0.7500
H: 0.1250 0.3750 0.2500
H: 0.0000 0.0000 0.5000
H: 0.5000 0.5000 0.5000
H: 0.0000 0.5000 0.5000
H: 0.2500 0.8750 0.1250
H: 0.7500 0.6250 0.3750
H: 0.6250 0.7500 0.8750
H: 0.6250 0.8750 0.2500
H: 0.7500 0.1250 0.8750
H: 0.3750 0.2500 0.1250
H: 0.0000 0.5000 0.0000
H: 0.5000 0.0000 0.5000
Si: 0.1250 0.2500 0.8750
Si: 0.8750 0.1250 0.2500
Si: 0.6250 0.3750 0.7500
Si: 0.8750 0.7500 0.1250
Si: 0.1250 0.8750 0.7500
Si: 0.2500 0.1250 0.3750
Si: 0.7500 0.3750 0.1250
Si: 0.3750 0.6250 0.2500
Si: 0.3750 0.7500 0.6250
Si: 0.7500 0.8750 0.6250
Si: 0.6250 0.2500 0.3750
Si: 0.2500 0.6250 0.8750

***

## CaSiH6 (PBE)

Data for a geometry-optimized CaSiH6 structure.

Properties
Final energy (Ry/atom): -0.267
Crystal system: trigonal
N(E_F) (states/eV/f.u.): 0.00
Space-group type: R-3m, No. 166

Cell: 4.1489 5.3537 4.1451 Å, 49.77 80.48 75.15°
Positions (direct):
H: 0.2212 0.4294 0.3494
H: 0.5699 0.7792 0.0000
H: 0.4301 0.2208 0.0000
H: 0.2212 0.7788 0.6506
H: 0.7788 0.5706 0.6506
H: 0.7788 0.2212 0.3494
Si: 0.5000 0.5000 0.0000
Ca: 0.0000 0.0000 0.0000

***

## Ca4Si2H (PBE)

Data for a geometry-optimized Ca4Si2H structure.

Properties
Final energy (Ry/atom): -0.261
Crystal system: monoclinic
N(E_F) (states/eV/f.u.): 3.07
Space-group type: P2_1/m, No. 11

Cell: 6.7840 6.8019 8.0206 Å, 90.00 107.08 90.00°
Positions (direct):
Ca: 0.0863 0.7500 0.9121
Ca: 0.4943 0.5084 0.2534
Ca: 0.4943 0.9916 0.2534
Ca: 0.5057 0.0084 0.7466
Ca: 0.9137 0.2500 0.0879
Ca: 0.0615 0.7500 0.3740
Ca: 0.9385 0.2500 0.6260
Ca: 0.5057 0.4916 0.7466
Si: 0.2479 0.2500 0.4310
Si: 0.2795 0.2500 0.9526
Si: 0.7205 0.7500 0.0474
Si: 0.7521 0.7500 0.5690
H: 0.2645 0.7500 0.1972
H: 0.7355 0.2500 0.8028

***

## CaSiH2 (PBE)

Data for a geometry-optimized CaSiH2 structure.

Properties
Final energy (Ry/atom): -0.243
Crystal system: cubic
N(E_F) (states/eV/f.u.): 1.04
Space-group type: Fm-3m, No. 225

Cell: 4.1093 4.1093 4.1093 Å, 60.00 60.00 60.00°
Positions (direct):
H: 0.7500 0.7500 0.7500
H: 0.2500 0.2500 0.2500
Si: 0.0000 0.0000 0.0000
Ca: 0.5000 0.5000 0.5000

***

## Ca2SiH (PBE)

Data for a geometry-optimized Ca2SiH structure.

Properties
Final energy (Ry/atom): -0.251
Crystal system: trigonal
N(E_F) (states/eV/f.u.): 1.62
Space-group type: R-3m, No. 166

Cell: 3.9123 3.9123 7.0767 Å, 73.95 73.95 60.00°
Positions (direct):
Si: 0.0000 0.0000 0.0000
Ca: 0.2423 0.2423 0.2731
Ca: 0.7577 0.7577 0.7269
H: 0.5000 0.5000 0.5000